No. 1
# LiLuRh2 (SCAN, PBEsol geometry)
# theoretical density	10.688	g/cm3
# DFT formation energy	-2.7	eV per formula unit
data_LiLuRh2
_chemical_formula_sum 'Li4 Lu4 Rh8'
_cell_length_a 6.223
_cell_length_b 6.223
_cell_length_c 6.223
_cell_angle_alpha 90.00
_cell_angle_beta 90.00
_cell_angle_gamma 90.00
_symmetry_space_group_name_H-M 'F m -3 m'
_symmetry_Int_Tables_number 225
_symmetry_space_group_name_Hall '-F 4 2 3'
loop_
_atom_site_label
_atom_site_fract_x
_atom_site_fract_y
_atom_site_fract_z
Li1 0.000 0.000 0.000
Lu1 0.000 0.000 0.500
Rh1 0.250 0.250 0.250



No. 2
# SrCa3C (SCAN, PBEsol geometry)
# theoretical density	1.104	g/cm3
# DFT formation energy	11.3	eV per formula unit
data_SrCa3C
_chemical_formula_sum 'Sr1 Ca3 C1'
_cell_length_a 6.916
_cell_length_b 6.916
_cell_length_c 6.916
_cell_angle_alpha 90.00
_cell_angle_beta 90.00
_cell_angle_gamma 90.00
_symmetry_space_group_name_H-M 'P m -3 m'
_symmetry_Int_Tables_number 221
_symmetry_space_group_name_Hall '-P 4 2 3'
loop_
_atom_site_label
_atom_site_fract_x
_atom_site_fract_y
_atom_site_fract_z
Sr1 0.000 0.000 0.000
Ca1 0.000 0.000 0.500
C1 0.500 0.500 0.500



No. 3
# YZr2TePb (SCAN, PBEsol geometry)
# uncorrected formation energy	44.8	kJ per mole of atoms
# theoretical density	6.224	g/cm3
data_YZr2TePb
_chemical_formula_sum 'Y1 Zr2 Te1 Pb1'
_cell_length_a 5.355
_cell_length_b 5.355
_cell_length_c 5.640
_cell_angle_alpha 90.00
_cell_angle_beta 90.00
_cell_angle_gamma 90.00
_symmetry_space_group_name_H-M 'P 4/m m m'
_symmetry_Int_Tables_number 123
_symmetry_space_group_name_Hall '-P 4 2'
loop_
_atom_site_label
_atom_site_fract_x
_atom_site_fract_y
_atom_site_fract_z
Y1 0.000 0.000 0.000
Zr1 0.000 0.500 0.500
Te1 0.500 0.500 0.000
Pb1 0.000 0.000 0.500



No. 4
# YCuAu2 (SCAN, PBEsol geometry)
# energy above the most stable polymorph in this dataset	142	meV/atom
# theoretical density	12.369	g/cm3
# DFT formation energy	-2.2	eV per formula unit
data_YCuAu2
_chemical_formula_sum 'Y1 Cu1 Au2'
_cell_length_a 3.497
_cell_length_b 3.497
_cell_length_c 5.998
_cell_angle_alpha 90.00
_cell_angle_beta 90.00
_cell_angle_gamma 90.00
_symmetry_space_group_name_H-M 'P 4 m m'
_symmetry_Int_Tables_number 99
_symmetry_space_group_name_Hall 'P 4 -2'
loop_
_atom_site_label
_atom_site_fract_x
_atom_site_fract_y
_atom_site_fract_z
Y1 0.000 0.000 0.000
Cu1 0.500 0.500 0.706
Au1 0.000 0.000 0.523
Au2 0.500 0.500 0.266



No. 5
# Li2TiCo3P6O24 (SCAN, PBEsol geometry)
# uncorrected formation energy	-207.3	kJ per mole of atoms
# theoretical density	3.349	g/cm3
data_Li2TiCo3P6O24
_chemical_formula_sum 'Li6 Ti3 Co9 P18 O72'
_cell_length_a 8.2163
_cell_length_b 8.2163
_cell_length_c 20.5678
_cell_angle_alpha 90.00
_cell_angle_beta 90.00
_cell_angle_gamma 120.00
_symmetry_space_group_name_H-M 'R 3'
_symmetry_Int_Tables_number 146
_symmetry_space_group_name_Hall 'R 3'
loop_
_atom_site_label
_atom_site_fract_x
_atom_site_fract_y
_atom_site_fract_z
Li1 0.0000 0.0000 0.0000
Li2 0.0000 0.0000 0.4954
Ti1 0.0000 0.0000 0.8564
Co1 0.0000 0.0000 0.1349
Co2 0.0000 0.0000 0.3536
Co3 0.0000 0.0000 0.6363
P1 0.0040 0.2914 0.7428
P2 0.0060 0.7218 0.2466
O1 0.0070 0.1956 0.8059
O2 0.0142 0.1784 0.0748
O3 0.0566 0.2132 0.6836
O4 0.0610 0.2006 0.4104
O5 0.1446 0.6679 0.8484
O6 0.1554 0.6799 0.5815
O7 0.1799 0.7198 0.9729
O8 0.2052 0.1281 0.5792



No. 6
# TcBP2O (SCAN, PBEsol geometry)
# uncorrected formation energy	23.5	kJ per mole of atoms
# theoretical density	5.345	g/cm3
data_TcBP2O
_chemical_formula_sum 'Tc1 B1 P2 O1'
_cell_length_a 4.658
_cell_length_b 4.658
_cell_length_c 2.674
_cell_angle_alpha 90.00
_cell_angle_beta 90.00
_cell_angle_gamma 90.00
_symmetry_space_group_name_H-M 'P 4/m m m'
_symmetry_Int_Tables_number 123
_symmetry_space_group_name_Hall '-P 4 2'
loop_
_atom_site_label
_atom_site_fract_x
_atom_site_fract_y
_atom_site_fract_z
Tc1 0.000 0.000 0.000
B1 0.500 0.500 0.500
P1 0.000 0.500 0.500
O1 0.500 0.500 0.000



No. 7
# LiCuNi2 (SCAN, PBEsol geometry)
# theoretical density	7.223	g/cm3
# DFT formation energy	0.2	eV per formula unit
data_LiCuNi2
_chemical_formula_sum 'Li3 Cu3 Ni6'
_cell_length_a 2.4583
_cell_length_b 2.4583
_cell_length_c 24.7577
_cell_angle_alpha 90.00
_cell_angle_beta 90.00
_cell_angle_gamma 120.00
_symmetry_space_group_name_H-M 'R -3 m'
_symmetry_Int_Tables_number 166
_symmetry_space_group_name_Hall '-R 3 2"'
loop_
_atom_site_label
_atom_site_fract_x
_atom_site_fract_y
_atom_site_fract_z
Li1 0.0000 0.0000 0.0000
Cu1 0.0000 0.0000 0.5000
Ni1 0.0000 0.0000 0.2491



No. 8
# ZrFe2Ir (SCAN, PBEsol geometry)
# theoretical density	11.543	g/cm3
# DFT formation energy	-1.4	eV per formula unit
data_ZrFe2Ir
_chemical_formula_sum 'Zr1 Fe2 Ir1'
_cell_length_a 3.772
_cell_length_b 3.772
_cell_length_c 3.995
_cell_angle_alpha 90.00
_cell_angle_beta 90.00
_cell_angle_gamma 90.00
_symmetry_space_group_name_H-M 'P 4/m m m'
_symmetry_Int_Tables_number 123
_symmetry_space_group_name_Hall '-P 4 2'
loop_
_atom_site_label
_atom_site_fract_x
_atom_site_fract_y
_atom_site_fract_z
Zr1 0.000 0.000 0.000
Fe1 0.000 0.500 0.500
Ir1 0.500 0.500 0.000



No. 9
# In2AuBr (SCAN, PBEsol geometry)
# uncorrected formation energy	-19.1	kJ per mole of atoms
# energy above the most stable polymorph in this dataset	0	meV/atom
# theoretical density	8.977	g/cm3
data_In2AuBr
_chemical_formula_sum 'In2 Au1 Br1'
_cell_length_a 5.261
_cell_length_b 5.261
_cell_length_c 3.385
_cell_angle_alpha 90.00
_cell_angle_beta 90.00
_cell_angle_gamma 90.00
_symmetry_space_group_name_H-M 'P 4/m m m'
_symmetry_Int_Tables_number 123
_symmetry_space_group_name_Hall '-P 4 2'
loop_
_atom_site_label
_atom_site_fract_x
_atom_site_fract_y
_atom_site_fract_z
In1 0.000 0.500 0.000
Au1 0.000 0.000 0.500
Br1 0.500 0.500 0.500



No. 10
# SrLi2Al2 (SCAN, PBEsol geometry)
# theoretical density	2.403	g/cm3
# DFT formation energy	0.1	eV per formula unit
data_SrLi2Al2
_chemical_formula_sum 'Sr2 Li4 Al4'
_cell_length_a 8.322
_cell_length_b 8.322
_cell_length_c 3.102
_cell_angle_alpha 90.00
_cell_angle_beta 90.00
_cell_angle_gamma 90.00
_symmetry_space_group_name_H-M 'P 4/m b m'
_symmetry_Int_Tables_number 127
_symmetry_space_group_name_Hall '-P 4 2ab'
loop_
_atom_site_label
_atom_site_fract_x
_atom_site_fract_y
_atom_site_fract_z
Sr1 0.000 0.000 0.000
Li1 0.175 0.325 0.500
Al1 0.115 0.615 0.000



No. 11
# BaAs2Pb (SCAN, PBEsol geometry)
# theoretical density	7.605	g/cm3
# DFT formation energy	-0.4	eV per formula unit
data_BaAs2Pb
_chemical_formula_sum 'Ba4 As8 Pb4'
_cell_length_a 7.558
_cell_length_b 7.558
_cell_length_c 7.558
_cell_angle_alpha 90.00
_cell_angle_beta 90.00
_cell_angle_gamma 90.00
_symmetry_space_group_name_H-M 'F -4 3 m'
_symmetry_Int_Tables_number 216
_symmetry_space_group_name_Hall 'F -4 2 3'
loop_
_atom_site_label
_atom_site_fract_x
_atom_site_fract_y
_atom_site_fract_z
Ba1 0.000 0.000 0.000
As1 0.000 0.000 0.500
As2 0.250 0.250 0.750
Pb1 0.250 0.250 0.250



No. 12
# Li2WAuS (SCAN, PBEsol geometry)
# uncorrected formation energy	59.4	kJ per mole of atoms
# theoretical density	7.978	g/cm3
data_Li2WAuS
_chemical_formula_sum 'Li2 W1 Au1 S1'
_cell_length_a 4.204
_cell_length_b 4.204
_cell_length_c 5.025
_cell_angle_alpha 90.00
_cell_angle_beta 90.00
_cell_angle_gamma 90.00
_symmetry_space_group_name_H-M 'P 4/m m m'
_symmetry_Int_Tables_number 123
_symmetry_space_group_name_Hall '-P 4 2'
loop_
_atom_site_label
_atom_site_fract_x
_atom_site_fract_y
_atom_site_fract_z
Li1 0.000 0.500 0.000
W1 0.000 0.000 0.500
Au1 0.500 0.500 0.500
S1 0.500 0.500 0.000



> Look up the theoretical density of the sixth one.

5.345 g/cm3